Below is a relaxed structure of Er11Tl9Au4, with properties calculated at the GGA-PBE level.

Output
**Calculated total energy**: -4.03 eV per atom
**Formation enthalpy at 0 K**: -0.503 eV per atom

The structure in POSCAR format:
```
Er11Tl9Au4
1.0
-1.6932 1.1192 -3.1253
6.0804 -9.7744 -6.7944
-11.7935 -3.7647 5.0412
Tl Au Er
9 4 11
Direct
0.5000 0.9389 0.7888
0.5000 0.2112 0.0611
0.5000 0.5000 0.5000
0.5000 0.3677 0.8538
0.5000 0.6323 0.1462
0.5000 0.8538 0.3677
0.5000 0.7888 0.9389
0.5000 0.1462 0.6323
0.5000 0.0611 0.2112
0.5000 0.4498 0.2511
0.5000 0.5502 0.7489
0.5000 0.7489 0.5502
0.5000 0.2511 0.4498
0.0000 0.0748 0.4146
0.0000 0.8380 0.1620
0.0000 0.9252 0.5854
0.0000 0.3685 0.6315
0.0000 0.5854 0.9252
0.0000 0.3017 0.3017
0.0000 0.1620 0.8380
0.0000 0.4146 0.0748
0.0000 0.6983 0.6983
0.0000 0.0000 0.0000
0.0000 0.6315 0.3685
```